1.
Material: TbSmMn4
Method: DFT, GGA-PBE
State: optimized geometry

```
TbSmMn4
1.0
0.0000 3.6648 3.6648
3.6648 0.0000 3.6648
3.6648 3.6648 0.0000
Tb Sm Mn
1 1 4
Direct
0.0000 0.0000 0.0000 Tb
0.7500 0.7500 0.7500 Sm
0.3746 0.3746 0.3746 Mn
0.3746 0.3746 0.8762 Mn
0.3746 0.8762 0.3746 Mn
0.8762 0.3746 0.3746 Mn
```

Output
**ΔH_f (0 K)**: 123 kJ/mol of formula units
**Total moment**: 6.0 μB/f.u.
**SG**: F-43m (216)

=====

2.
Material: TbSmMn
Method: DFT, GGA-PBE
State: optimized geometry

```
TbSmMn
1.0
-1.7665 1.7665 6.4294
1.7665 -1.7665 6.4294
1.7665 1.7665 -6.4294
Tb Sm Mn
1 1 1
Direct
0.0000 0.0000 0.0000 Tb
0.7275 0.7275 0.0000 Sm
0.3669 0.3669 0.0000 Mn
```

Output
**ΔH_f (0 K)**: 54 kJ/mol of formula units
**Energy above the lowest structure with this stoichiometry**: 0.0000 eV/atom
**Total moment**: 2.8 μB/f.u.
**SG**: I4mm (107)

=====

3.
Material: Tb3SmMn
Method: DFT, GGA-PBE
State: optimized geometry

```
Tb3SmMn
1.0
5.3347 0.0000 0.0000
0.0000 5.3347 0.0000
0.0000 0.0000 5.3347
Tb Sm Mn
3 1 1
Direct
0.0000 0.0000 0.5000 Tb
0.0000 0.5000 0.0000 Tb
0.5000 0.0000 0.0000 Tb
0.5000 0.5000 0.5000 Sm
0.0000 0.0000 0.0000 Mn
```

Output
**ΔH_f (0 K)**: 118 kJ/mol of formula units
**Total moment**: 0.2 μB/f.u.
**SG**: Pm-3m (221)

=====

4.
Material: TbSmMn
Method: DFT, GGA-PBE
State: optimized geometry

```
TbSmMn
1.0
1.6052 -13.3541 0.0000
1.6052 13.3541 0.0000
0.0000 0.0000 3.6501
Tb Sm Mn
2 2 2
Direct
0.2022 0.7978 0.7500 Tb
0.7978 0.2022 0.2500 Tb
0.4036 0.5964 0.7500 Sm
0.5964 0.4036 0.2500 Sm
0.4816 0.5184 0.2500 Mn
0.5184 0.4816 0.7500 Mn
```

Output
**ΔH_f (0 K)**: 162 kJ/mol of formula units
**Energy above the lowest structure with this stoichiometry**: 0.3732 eV/atom
**Total moment**: 0.0 μB/f.u.
**SG**: Cmcm (63)

=====

5.
Material: TbSmMn17
Method: DFT, GGA-PBE
State: optimized geometry

```
TbSmMn17
1.0
4.2753 2.4684 4.0019
-4.2753 2.4684 4.0019
0.0000 -4.9367 4.0019
Tb Sm Mn
1 1 17
Direct
0.0000 0.0000 0.0000 Tb
0.6918 0.6918 0.6918 Sm
0.0749 0.3450 0.6156 Mn
0.0749 0.6156 0.3450 Mn
0.2018 0.6976 0.6976 Mn
0.2457 0.2457 0.2457 Mn
0.3443 0.3443 0.8454 Mn
0.3443 0.8454 0.3443 Mn
0.3450 0.0749 0.6156 Mn
0.3450 0.6156 0.0749 Mn
0.4443 0.4443 0.4443 Mn
0.4886 0.9937 0.9937 Mn
0.6156 0.0749 0.3450 Mn
0.6156 0.3450 0.0749 Mn
0.6976 0.2018 0.6976 Mn
0.6976 0.6976 0.2018 Mn
0.8454 0.3443 0.3443 Mn
0.9937 0.4886 0.9937 Mn
0.9937 0.9937 0.4886 Mn
```

Output
**ΔH_f (0 K)**: 63 kJ/mol of formula units
**Total moment**: 0.1 μB/f.u.
**SG**: R3m (160)

=====

6.
Material: TbSmMnZn
Method: DFT, GGA-PBE
State: optimized geometry

```
TbSmMnZn
1.0
0.0000 3.5935 3.5935
3.5935 0.0000 3.5935
3.5935 3.5935 0.0000
Tb Sm Mn Zn
1 1 1 1
Direct
0.0000 0.0000 0.0000 Tb
0.5000 0.5000 0.5000 Sm
0.2500 0.2500 0.2500 Mn
0.7500 0.7500 0.7500 Zn
```

Output
**ΔH_f (0 K)**: -10 kJ/mol of formula units
**Total moment**: 3.1 μB/f.u.
**SG**: F-43m (216)

=====

| no. | E_tot (eV per cell) |
| --- | --- |
| 1 | -44.76 |
| 2 | -17.96 |
| 3 | -26.56 |
| 4 | -33.68 |
| 5 | -164.58 |
| 6 | -19.89 |